(1)
16
Lattice="6.262 0.000 0.000 0.000 6.262 0.000 0.000 0.000 6.262" Properties=species:S:1:pos:R:3 comment="ReSnF2 PBE relaxed" relative_energy_ev_per_atom=0.963 e_form_raw_ev_per_atom=0.11 pbc="T T T"
Re 0.000 0.000 0.000
Re 0.000 3.131 3.131
Re 3.131 0.000 3.131
Re 3.131 3.131 0.000
Sn 0.000 0.000 3.131
Sn 0.000 3.131 0.000
Sn 3.131 0.000 0.000
Sn 3.131 3.131 3.131
F 1.566 1.566 1.566
F 1.566 1.566 4.697
F 1.566 4.697 1.566
F 1.566 4.697 4.697
F 4.697 1.566 1.566
F 4.697 1.566 4.697
F 4.697 4.697 1.566
F 4.697 4.697 4.697

(2)
10
Lattice="3.356 0.000 0.000 0.000 3.356 0.000 0.000 0.000 17.427" Properties=species:S:1:pos:R:3 comment="SmPu4Ru5 PBE relaxed" formation_enthalpy_0k_ev_per_atom=-0.1069 pbc="T T T"
Sm 0.000 0.000 0.000
Pu 0.000 0.000 3.547
Pu 0.000 0.000 7.005
Pu 0.000 0.000 10.422
Pu 0.000 0.000 13.880
Ru 1.678 1.678 1.985
Ru 1.678 1.678 5.219
Ru 1.678 1.678 8.714
Ru 1.678 1.678 12.209
Ru 1.678 1.678 15.442

| no. | electronic total energy (eV/atom) | density (g/cm³) |
| --- | --- | --- |
| 1 | -4.94 | 9.27 |
| 2 | -10.95 | 13.80 |